# 1
# Na2Ac2Nd | Alexandria via LeMat-Bulk | PBE | relaxed
# - E_form (kJ/mol of formula units) = 25
# - magnetic moment (μB per formula unit) = 0.00
data_Na2Ac2Nd
_chemical_formula_sum 'Na2 Ac2 Nd1'
_cell_length_a 3.8685
_cell_length_b 3.8685
_cell_length_c 15.8091
_cell_angle_alpha 90.00
_cell_angle_beta 90.00
_cell_angle_gamma 120.00
_symmetry_space_group_name_H-M 'P -3 m 1'
_symmetry_Int_Tables_number 164
_symmetry_space_group_name_Hall '-P 3 2"'
loop_
_atom_site_label
_atom_site_type_symbol
_atom_site_fract_x
_atom_site_fract_y
_atom_site_fract_z
_atom_site_occupancy
Na1 Na 0.3333 0.6667 0.0987 1
Ac1 Ac 0.3333 0.6667 0.6939 1
Nd1 Nd 0.0000 0.0000 0.5000 1



# 2
# La3Sm3CoHg2 | Alexandria via LeMat-Bulk | PBE | relaxed
# - E_form (kJ/mol of formula units) = -229
# - magnetic moment (μB per formula unit) = 0.00
data_La3Sm3CoHg2
_chemical_formula_sum 'La3 Sm3 Co1 Hg2'
_cell_length_a 8.7901
_cell_length_b 8.7901
_cell_length_c 3.8428
_cell_angle_alpha 90.00
_cell_angle_beta 90.00
_cell_angle_gamma 120.00
_symmetry_space_group_name_H-M 'P -6 2 m'
_symmetry_Int_Tables_number 189
_symmetry_space_group_name_Hall 'P -6 -2'
loop_
_atom_site_label
_atom_site_type_symbol
_atom_site_fract_x
_atom_site_fract_y
_atom_site_fract_z
_atom_site_occupancy
La1 La 0.0000 0.7680 0.0000 1
Sm1 Sm 0.0000 0.4091 0.5000 1
Co1 Co 0.0000 0.0000 0.5000 1
Hg1 Hg 0.3333 0.6667 0.0000 1



# 3
# Er2Mg2Cd3 | Alexandria via LeMat-Bulk | PBE | relaxed
# - E_form (kJ/mol of formula units) = -86
# - magnetic moment (μB per formula unit) = 0.00
data_Er2Mg2Cd3
_chemical_formula_sum 'Er2 Mg2 Cd3'
_cell_length_a 5.106
_cell_length_b 5.116
_cell_length_c 8.367
_cell_angle_alpha 90.30
_cell_angle_beta 107.58
_cell_angle_gamma 119.78
_symmetry_space_group_name_H-M 'P -1'
_symmetry_Int_Tables_number 2
loop_
_symmetry_equiv_pos_as_xyz
'x,y,z'
'-x,-y,-z'
loop_
_atom_site_label
_atom_site_type_symbol
_atom_site_fract_x
_atom_site_fract_y
_atom_site_fract_z
_atom_site_occupancy
Er1 Er 0.223 0.110 0.335 1
Mg1 Mg 0.265 0.635 0.897 1
Cd1 Cd 0.000 0.500 0.500 1
Cd2 Cd 0.495 0.250 0.742 1